(1)
AlOsPtO2 | GGA-PBEsol | relaxed

```
data_AlOsPtO2
_chemical_formula_sum 'Al1 Os1 Pt1 O2'
_symmetry_space_group_name_H-M 'P 4/m m m'
_symmetry_Int_Tables_number 123
_symmetry_space_group_name_Hall '-P 4 2'
_cell_length_a 3.640
_cell_length_b 3.640
_cell_length_c 5.899
_cell_angle_alpha 90.00
_cell_angle_beta 90.00
_cell_angle_gamma 90.00
loop_
_atom_site_label
_atom_site_type_symbol
_atom_site_fract_x
_atom_site_fract_y
_atom_site_fract_z
Al1 Al 0.000 0.000 0.000
Os1 Os 0.000 0.000 0.500
Pt1 Pt 0.500 0.500 0.000
O1 O 0.000 0.500 0.500
```

Output
Raw formation energy ... -1.82 eV per formula unit



(2)
AlPO4 | GGA-PBEsol | relaxed

```
data_AlPO4
_chemical_formula_sum 'Al20 P20 O80'
_symmetry_space_group_name_H-M 'I m a 2'
_symmetry_Int_Tables_number 46
_cell_length_a 18.969
_cell_length_b 13.684
_cell_length_c 8.486
_cell_angle_alpha 90.00
_cell_angle_beta 90.00
_cell_angle_gamma 90.00
loop_
_symmetry_equiv_pos_as_xyz
'x,y,z'
'-x,-y,z'
'-x+1/2,y,z'
'x+1/2,-y,z'
'x+1/2,y+1/2,z+1/2'
'-x+1/2,-y+1/2,z+1/2'
'-x,y+1/2,z+1/2'
'x,-y+1/2,z+1/2'
loop_
_atom_site_label
_atom_site_type_symbol
_atom_site_fract_x
_atom_site_fract_y
_atom_site_fract_z
Al1 Al 0.040 0.140 0.000
Al2 Al 0.099 0.555 0.000
Al3 Al 0.250 0.641 0.503
P1 P 0.039 0.143 0.626
P2 P 0.102 0.556 0.626
P3 P 0.250 0.632 0.120
O1 O 0.041 0.629 0.106
O2 O 0.049 0.614 0.525
O3 O 0.059 0.131 0.800
O4 O 0.061 0.245 0.571
O5 O 0.079 0.068 0.528
O6 O 0.090 0.582 0.800
O7 O 0.091 0.055 0.103
O8 O 0.177 0.582 0.578
O9 O 0.185 0.578 0.061
O10 O 0.250 0.635 0.299
O11 O 0.250 0.737 0.056
```

Output
Raw formation energy ... -15.84 eV per formula unit



(3)
AlPO4 | GGA-PBEsol | relaxed

```
data_AlPO4
_chemical_formula_sum 'Al16 P16 O64'
_symmetry_space_group_name_H-M 'P c a 21'
_symmetry_Int_Tables_number 29
_cell_length_a 19.770
_cell_length_b 8.525
_cell_length_c 10.050
_cell_angle_alpha 90.00
_cell_angle_beta 90.00
_cell_angle_gamma 90.00
loop_
_symmetry_equiv_pos_as_xyz
'x,y,z'
'-x,-y,z+1/2'
'-x+1/2,y,z+1/2'
'x+1/2,-y,z'
loop_
_atom_site_label
_atom_site_type_symbol
_atom_site_fract_x
_atom_site_fract_y
_atom_site_fract_z
Al1 Al 0.038 0.069 0.000
Al2 Al 0.074 0.572 0.270
Al3 Al 0.182 0.568 0.933
Al4 Al 0.219 0.071 0.221
P1 P 0.036 0.446 0.989
P2 P 0.072 0.945 0.280
P3 P 0.183 0.941 0.939
P4 P 0.220 0.439 0.215
O1 O 0.024 0.510 0.402
O2 O 0.030 0.991 0.401
O3 O 0.031 0.974 0.153
O4 O 0.032 0.543 0.118
O5 O 0.035 0.271 0.024
O6 O 0.092 0.771 0.288
O7 O 0.102 0.482 0.914
O8 O 0.114 0.023 0.924
O9 O 0.137 0.045 0.280
O10 O 0.149 0.466 0.270
O11 O 0.171 0.766 0.967
O12 O 0.223 0.013 0.054
O13 O 0.223 0.959 0.810
O14 O 0.224 0.479 0.066
O15 O 0.229 0.544 0.788
O16 O 0.240 0.268 0.235
```

Output
Raw formation energy ... -15.83 eV per formula unit



(4)
AlPO4 | GGA-PBEsol | relaxed

```
data_AlPO4
_chemical_formula_sum 'Al12 P12 O48'
_symmetry_space_group_name_H-M 'P 1 21/c 1'
_symmetry_Int_Tables_number 14
_cell_length_a 6.143
_cell_length_b 14.412
_cell_length_c 8.591
_cell_angle_alpha 90.00
_cell_angle_beta 104.75
_cell_angle_gamma 90.00
loop_
_symmetry_equiv_pos_as_xyz
'x,y,z'
'-x,-y,-z'
'-x,y+1/2,-z+1/2'
'x,-y+1/2,z+1/2'
loop_
_atom_site_label
_atom_site_type_symbol
_atom_site_fract_x
_atom_site_fract_y
_atom_site_fract_z
Al1 Al 0.044 0.101 0.060
Al2 Al 0.296 0.094 0.620
Al3 Al 0.345 0.699 0.650
P1 P 0.167 0.547 0.826
P2 P 0.179 0.248 0.358
P3 P 0.414 0.602 0.330
O1 O 0.007 0.604 0.895
O2 O 0.020 0.695 0.600
O3 O 0.047 0.516 0.647
O4 O 0.073 0.183 0.224
O5 O 0.273 0.034 0.427
O6 O 0.282 0.623 0.466
O7 O 0.316 0.203 0.510
O8 O 0.325 0.514 0.243
O9 O 0.342 0.094 0.079
O10 O 0.343 0.181 0.808
O11 O 0.367 0.685 0.212
O12 O 0.368 0.612 0.807
```

Output
Raw formation energy ... -15.71 eV per formula unit



(5)
AlPO4 | GGA-PBEsol | relaxed

```
data_AlPO4
_chemical_formula_sum 'Al6 P6 O24'
_symmetry_space_group_name_H-M 'P 1 2/c 1'
_symmetry_Int_Tables_number 13
_cell_length_a 10.948
_cell_length_b 4.926
_cell_length_c 8.835
_cell_angle_alpha 90.00
_cell_angle_beta 90.32
_cell_angle_gamma 90.00
loop_
_symmetry_equiv_pos_as_xyz
'x,y,z'
'-x,-y,-z'
'-x,y,-z+1/2'
'x,-y,z+1/2'
loop_
_atom_site_label
_atom_site_type_symbol
_atom_site_fract_x
_atom_site_fract_y
_atom_site_fract_z
Al1 Al 0.000 0.033 0.250
Al2 Al 0.334 0.250 0.986
P1 P 0.167 0.254 0.514
P2 P 0.500 0.466 0.250
O1 O 0.071 0.232 0.388
O2 O 0.113 0.166 0.666
O3 O 0.206 0.448 0.027
O4 O 0.281 0.083 0.476
O5 O 0.399 0.352 0.815
O6 O 0.445 0.283 0.127
```

Output
Raw formation energy ... -15.86 eV per formula unit



(6)
AlPO4 | GGA-PBEsol | relaxed

```
data_AlPO4
_chemical_formula_sum 'Al4 P4 O16'
_symmetry_space_group_name_H-M 'C 2 2 21'
_symmetry_Int_Tables_number 20
_cell_length_a 7.178
_cell_length_b 7.197
_cell_length_c 7.097
_cell_angle_alpha 90.00
_cell_angle_beta 90.00
_cell_angle_gamma 90.00
loop_
_symmetry_equiv_pos_as_xyz
'x,y,z'
'-x,-y,z+1/2'
'x,-y,-z'
'-x,y,-z+1/2'
'x+1/2,y+1/2,z'
'-x+1/2,-y+1/2,z+1/2'
'x+1/2,-y+1/2,-z'
'-x+1/2,y+1/2,-z+1/2'
loop_
_atom_site_label
_atom_site_type_symbol
_atom_site_fract_x
_atom_site_fract_y
_atom_site_fract_z
Al1 Al 0.203 0.000 0.000
P1 P 0.000 0.299 0.250
O1 O 0.060 0.178 0.082
O2 O 0.163 0.422 0.312
```

Output
Raw formation energy ... -15.88 eV per formula unit